[1]
VASP calculation (PBE) on a relaxed structure of NpSe2I2.

Cell: 7.7673 13.2378 8.0911 Å, 90.00 107.07 90.00°
Last column: nearest neighbours and their distance in Å.
Space group C2/m (No. 12)
Symmetry-distinct sites (fractional):
Np 0.0000 0.1449 0.0000 (multiplicity 4)  4 Se 2.90-2.92, 4 I 3.11-3.15
Se 0.0916 0.0000 0.2842 (multiplicity 4)  1 Se 2.34
Se 0.2089 0.5000 0.8837 (multiplicity 4)  1 Se 2.34
I 0.2455 0.1973 0.7641 (multiplicity 8)  2 Np 3.11-3.15

## Properties
- uncorrected formation energy (eV/atom) = -0.742
- uncorrected energy (Ry per atom) = -0.3928

[2]
VASP calculation (PBE) on a relaxed structure of Np4Se6I.

Cell: 8.9218 8.9218 4.0147 Å, 90.00 90.00 120.00°
Last column: nearest neighbours and their distance in Å.
Space group P-6m2 (No. 187)
Symmetry-distinct sites (fractional):
Np 0.0000 0.0000 0.0000 (multiplicity 1)  9 Se 2.93-3.19
Np 0.0334 0.5167 0.5000 (multiplicity 3)  6 Se 2.93-2.95
Se 0.2065 0.4130 0.0000 (multiplicity 3)  5 Np 2.95-3.19
Se 0.2761 0.1380 0.5000 (multiplicity 3)  4 Np 2.93
I 0.6667 0.3333 0.0000 (multiplicity 1)  6 Np 3.47, 6 Se 3.62

## Properties
- uncorrected formation energy (eV/atom) = -1.000
- uncorrected energy (Ry per atom) = -0.5694

[3]
VASP calculation (PBE) on a relaxed structure of NpTl2Se2I2.

Cell: 5.5005 5.5005 17.8473 Å, 90.00 90.00 90.00°
Last column: nearest neighbours and their distance in Å.
Space group I4/mmm (No. 139)
Symmetry-distinct sites (fractional):
Np 0.0000 0.0000 0.0000 (multiplicity 2)  4 Se 2.75, 2 I 3.06
Tl 0.0000 0.0000 0.3802 (multiplicity 4)  4 Se 3.48, 1 I 3.73
Se 0.0000 0.5000 0.0000 (multiplicity 4)  2 Np 2.75
I 0.0000 0.0000 0.1714 (multiplicity 4)  1 Np 3.06

## Properties
- uncorrected formation energy (eV/atom) = -0.755
- uncorrected energy (Ry per atom) = -0.3468

[4]
VASP calculation (PBE) on a relaxed structure of NpSiI.

Cell: 5.0658 4.9397 12.7258 Å, 90.00 90.13 90.00°
Last column: nearest neighbours and their distance in Å.
Space group C2/m (No. 12)
Symmetry-distinct sites (fractional):
Np 0.2489 0.0000 0.3100 (multiplicity 4)  5 Si 2.89-3.20, 2 I 3.20
Si 0.2503 0.0000 0.5368 (multiplicity 4)  4 Si 2.64-2.70, 1 Np 2.89
I 0.2479 0.5000 0.1505 (multiplicity 4)  4 Np 3.20-3.25, 4 I 3.54

## Properties
- uncorrected formation energy (eV/atom) = -0.257
- uncorrected energy (Ry per atom) = -0.5068

[5]
VASP calculation (PBE) on a relaxed structure of SmNpI6.

Cell: 7.6659 14.3416 7.6388 Å, 90.00 108.04 90.00°
Last column: nearest neighbours and their distance in Å.
Space group C2/m (No. 12)
Symmetry-distinct sites (fractional):
Sm 0.0000 0.0000 0.0000 (multiplicity 2)  6 I 3.10
Np 0.0000 0.5000 0.5000 (multiplicity 2)  6 I 3.10-3.12
I 0.2468 0.1500 0.2493 (multiplicity 8)  1 Sm 3.10, 1 Np 3.12
I 0.2488 0.5000 0.2487 (multiplicity 4)  1 Sm 3.10, 1 Np 3.10

## Properties
- uncorrected formation energy (eV/atom) = -1.099
- uncorrected energy (Ry per atom) = -0.3284

[6]
VASP calculation (PBE) on a relaxed structure of NpSnI6.

Cell: 7.6757 13.8861 7.6668 Å, 90.00 107.37 90.00°
Last column: nearest neighbours and their distance in Å.
Space group C2/m (No. 12)
Symmetry-distinct sites (fractional):
Np 0.0000 0.0000 0.0000 (multiplicity 2)  6 I 2.99-3.02
Sn 0.0000 0.5000 0.5000 (multiplicity 2)  6 I 3.17-3.19
I 0.2357 0.1515 0.2415 (multiplicity 8)  1 Np 3.02, 1 Sn 3.17
I 0.2468 0.0000 0.7632 (multiplicity 4)  1 Np 2.99, 1 Sn 3.19

## Properties
- uncorrected formation energy (eV/atom) = -0.650
- excess energy over the best structure of this formula in the dataset (kJ per mole of atoms) = 0.0
- uncorrected energy (Ry per atom) = -0.2889

[7]
VASP calculation (PBE) on a relaxed structure of NpSnI6.

Cell: 7.6989 7.6989 21.0051 Å, 90.00 90.00 120.00°
Last column: nearest neighbours and their distance in Å.
Space group R-3 (No. 148, hexagonal axes)
Symmetry-distinct sites (fractional):
Np 0.0000 0.0000 0.0000 (multiplicity 3)  6 I 3.01
Sn 0.0000 0.0000 0.5000 (multiplicity 3)  6 I 3.20
I 0.0068 0.3253 0.9185 (multiplicity 18)  1 Np 3.01, 1 Sn 3.20

## Properties
- uncorrected formation energy (eV/atom) = -0.637
- excess energy over the best structure of this formula in the dataset (kJ per mole of atoms) = 1.2
- uncorrected energy (Ry per atom) = -0.2880

[8]
VASP calculation (PBE) on a relaxed structure of NpSnI.

Cell: 10.5403 5.9342 7.7887 Å, 90.00 132.48 90.00°
Last column: nearest neighbours and their distance in Å.
Space group C2/m (No. 12)
Symmetry-distinct sites (fractional):
Np 0.0000 0.2496 0.0000 (multiplicity 4)  2 Np 2.96-2.97, 4 I 3.21-3.22
Sn 0.1773 0.0000 0.5002 (multiplicity 4)  4 Np 3.32, 2 Sn 3.34
I 0.1560 0.5000 0.8112 (multiplicity 4)  4 Np 3.21-3.22, 1 I 3.57

## Properties
- uncorrected formation energy (eV/atom) = -0.112
- uncorrected energy (Ry per atom) = -0.4613

[9]
VASP calculation (PBE) on a relaxed structure of NpTlSnI6.

Cell: 8.0650 8.0650 15.3858 Å, 90.00 90.00 120.00°
Last column: nearest neighbours and their distance in Å.
Space group P-31c (No. 163)
Symmetry-distinct sites (fractional):
Np 0.3333 0.6667 0.2500 (multiplicity 2)  6 I 3.12
Tl 0.0000 0.0000 0.0000 (multiplicity 2)  6 I 3.55
Sn 0.3333 0.6667 0.7500 (multiplicity 2)  6 I 3.20
I 0.0081 0.3666 0.1313 (multiplicity 12)  1 Np 3.12, 1 Sn 3.20

## Properties
- uncorrected formation energy (eV/atom) = -0.700
- uncorrected energy (Ry per atom) = -0.2851

[10]
VASP calculation (PBE) on a relaxed structure of NpTlSn2I8.

Cell: 7.4247 9.5634 7.7880 Å, 90.00 90.89 90.00°
Last column: nearest neighbours and their distance in Å.
Space group P2/m (No. 10)
Symmetry-distinct sites (fractional):
Np 0.0000 0.0000 0.0000 (multiplicity 1)  6 I 3.11-3.15
Tl 0.0000 0.5000 0.0000 (multiplicity 1)  6 I 3.43-3.49
Sn 0.5000 0.2530 0.5000 (multiplicity 2)  6 I 3.11-3.37
I 0.2437 0.0000 0.6732 (multiplicity 2)  1 Np 3.15, 2 Sn 3.37
I 0.2525 0.2267 0.1575 (multiplicity 4)  1 Np 3.11, 1 Sn 3.23, 1 Tl 3.43
I 0.2700 0.5000 0.6372 (multiplicity 2)  2 Sn 3.11

## Properties
- uncorrected formation energy (eV/atom) = -0.616
- uncorrected energy (Ry per atom) = -0.2640

Number 2 is which compound?
Np4Se6I